1.
A plane-wave DFT calculation with PBE-GGA was carried out for Sc2SbI2 after structural relaxation.

Cell lengths 4.1421, 4.1421, 32.9183 Å; angles 90.00, 90.00, 120.00 degrees
Closest atoms and distances in Å follow each position.
Space group R-3m (No. 166, hexagonal axes)
Unique sites:
Sc 0.0000 0.0000 0.1177 [6 per cell]  3 Sb 2.88, 3 I 3.02
Sb 0.0000 0.0000 0.5000 [3 per cell]  6 Sc 2.88
I 0.0000 0.0000 0.2715 [6 per cell]  3 Sc 3.02

Output
The crystal system is trigonal. As for the total magnetic moment: 0.00 μB per formula unit. The value obtained for the total energy is -5.0792 eV per atom. The calculation puts the uncorrected formation energy at -1.102 eV per atom.

2.
A plane-wave DFT calculation with PBE-GGA was carried out for Pm2DyPbC after structural relaxation.

Cell lengths 5.0910, 5.0910, 4.9281 Å; angles 90.00, 90.00, 90.00 degrees
Closest atoms and distances in Å follow each position.
Space group P4/mmm (No. 123)
Unique sites:
Pm 0.0000 0.5000 0.0000 [2 per cell]  2 C 2.55
Dy 0.0000 0.0000 0.5000 [1 per cell]  2 C 2.46
Pb 0.5000 0.5000 0.5000 [1 per cell]  8 Pm 3.54, 4 Dy 3.60
C 0.0000 0.0000 0.0000 [1 per cell]  2 Dy 2.46, 4 Pm 2.55

Output
The crystal system is tetragonal. As for the total magnetic moment: 0.00 μB per formula unit. The value obtained for the total energy is -5.8746 eV per atom.

3.
A plane-wave DFT calculation with PBE-GGA was carried out for TaMnCu2 after structural relaxation.

Cell lengths 5.1523, 7.8464, 2.7391 Å; angles 90.00, 90.22, 90.00 degrees
Closest atoms and distances in Å follow each position.
Space group C2/m (No. 12)
Unique sites:
Ta 0.0000 0.0000 0.0000 [2 per cell]  2 Mn 2.58, 8 Cu 2.71-2.72, 2 Ta 2.74
Mn 0.0000 0.5000 0.0000 [2 per cell]  2 Ta 2.58, 8 Cu 2.71-2.72, 2 Mn 2.74
Cu 0.2500 0.2500 0.5000 [4 per cell]  4 Cu 2.58-2.74, 4 Ta 2.71-2.72, 4 Mn 2.71-2.72

Output
The crystal system is monoclinic. As for the total magnetic moment: 2.17 μB per formula unit. The value obtained for the total energy is -7.1027 eV per atom. For the energy above the most stable polymorph in this dataset, the calculation gives 111 meV/atom.